No. 1
A relaxed HfZrTi crystal. Source: Alexandria via LeMat-Bulk, functional GGA-PBE.

Unit cell a=4.9499 b=4.8894 c=5.7799 alpha=90.00 beta=90.00 gamma=90.00
Last column: nearest neighbours and their distance in Å.
Positions (direct):
Ti 0.0000 0.4787 0.2500  2 Hf 2.67, 4 Zr 2.75-2.93, 2 Ti 2.90
Ti 0.0000 0.5213 0.7500  2 Hf 2.67, 4 Zr 2.75-2.93, 2 Ti 2.90
Zr 0.0000 0.0000 0.0000  4 Ti 2.75-2.93, 2 Zr 2.89
Zr 0.0000 0.0000 0.5000  4 Ti 2.75-2.93, 2 Zr 2.89
Hf 0.5000 0.6842 0.2500  2 Ti 2.67
Hf 0.5000 0.3158 0.7500  2 Ti 2.67

**Magnetic moment**: 0.000 μB per cell
**Distance to the lowest polymorph of the same formula**: 659 meV/atom

No. 2
A relaxed HfZr2Ti2 crystal. Source: Alexandria via LeMat-Bulk, functional GGA-PBE.

Unit cell a=7.7224 b=7.7224 c=3.5136 alpha=90.00 beta=90.00 gamma=90.00
Last column: nearest neighbours and their distance in Å.
Positions (direct):
Hf 0.0000 0.0000 0.0000  4 Zr 2.98
Hf 0.5000 0.5000 0.0000  4 Zr 2.98
Zr 0.3593 0.8593 0.0000  6 Ti 2.83-2.89, 2 Hf 2.98, 1 Zr 3.07
Zr 0.8593 0.6407 0.0000  6 Ti 2.83-2.89, 2 Hf 2.98, 1 Zr 3.07
Zr 0.6407 0.1407 0.0000  6 Ti 2.83-2.89, 2 Hf 2.98, 1 Zr 3.07
Zr 0.1407 0.3593 0.0000  6 Ti 2.83-2.89, 2 Hf 2.98, 1 Zr 3.07
Ti 0.1561 0.6561 0.5000  6 Zr 2.83-2.89
Ti 0.6561 0.8439 0.5000  6 Zr 2.83-2.89
Ti 0.8439 0.3439 0.5000  6 Zr 2.83-2.89
Ti 0.3439 0.1561 0.5000  6 Zr 2.83-2.89

**Magnetic moment**: 0.000 μB per cell
**Distance to the lowest polymorph of the same formula**: 140 meV/atom

No. 3
A relaxed HfZr5Ti2 crystal. Source: Alexandria via LeMat-Bulk, functional GGA-PBE.

Unit cell a=3.1009 b=7.7108 c=7.7108 alpha=77.93 beta=78.40 gamma=78.40
Last column: nearest neighbours and their distance in Å.
Positions (direct):
Hf 0.0000 0.0000 0.0000  2 Hf 3.10, 4 Ti 3.22, 8 Zr 3.31
Zr 0.0000 0.5000 0.5000  2 Ti 2.97, 10 Zr 3.10-3.18
Zr 0.6298 0.6109 0.1294  3 Ti 2.84-3.16, 3 Zr 3.01-3.10
Zr 0.3702 0.3891 0.8706  3 Ti 2.84-3.16, 3 Zr 3.01-3.10
Zr 0.3702 0.8706 0.3891  3 Ti 2.84-3.16, 3 Zr 3.01-3.10
Zr 0.6298 0.1294 0.6109  3 Ti 2.84-3.16, 3 Zr 3.01-3.10
Ti 0.7434 0.7566 0.7566  7 Zr 2.84-3.16, 2 Ti 3.10
Ti 0.2566 0.2434 0.2434  7 Zr 2.84-3.16, 2 Ti 3.10

**Magnetic moment**: 0.000 μB per cell
**Total energy**: -8.5067 eV per atom

No. 4
A relaxed HfZr2Ti2 crystal. Source: Alexandria via LeMat-Bulk, functional GGA-PBE.

Unit cell a=7.6297 b=7.6297 c=3.5933 alpha=90.00 beta=90.00 gamma=90.00
Last column: nearest neighbours and their distance in Å.
Positions (direct):
Hf 0.0000 0.0000 0.0000  4 Ti 3.01, 8 Zr 3.36
Hf 0.5000 0.5000 0.0000  4 Ti 3.01, 8 Zr 3.36
Zr 0.1688 0.6688 0.5000  6 Ti 2.84-2.90
Zr 0.6688 0.8312 0.5000  6 Ti 2.84-2.90
Zr 0.8312 0.3312 0.5000  6 Ti 2.84-2.90
Zr 0.3312 0.1688 0.5000  6 Ti 2.84-2.90
Ti 0.3728 0.8728 0.0000  1 Ti 2.75, 6 Zr 2.84-2.90, 2 Hf 3.01
Ti 0.8728 0.6272 0.0000  1 Ti 2.75, 6 Zr 2.84-2.90, 2 Hf 3.01
Ti 0.6272 0.1272 0.0000  1 Ti 2.75, 6 Zr 2.84-2.90, 2 Hf 3.01
Ti 0.1272 0.3728 0.0000  1 Ti 2.75, 6 Zr 2.84-2.90, 2 Hf 3.01

**Magnetic moment**: 0.000 μB per cell
**Distance to the lowest polymorph of the same formula**: 0 meV/atom

No. 5
A relaxed Hf6ZrTi2 crystal. Source: Alexandria via LeMat-Bulk, functional GGA-PBE.

Unit cell a=4.9075 b=10.4181 c=10.4184 alpha=48.21 beta=103.62 gamma=103.62
Last column: nearest neighbours and their distance in Å.
Positions (direct):
Hf 0.3363 0.6694 0.5033  3 Hf 2.83-2.84, 1 Ti 3.01
Hf 0.1637 0.4967 0.3306  3 Hf 2.83-2.84, 1 Ti 3.01
Hf 0.6637 0.3306 0.4967  3 Hf 2.83-2.84, 1 Ti 3.01
Hf 0.8363 0.5033 0.6694  3 Hf 2.83-2.84, 1 Ti 3.01
Hf 0.9187 0.9191 0.4191  7 Hf 2.97-3.22, 1 Zr 3.11, 6 Ti 3.20
Hf 0.5813 0.5809 0.0809  7 Hf 2.97-3.22, 1 Zr 3.11, 6 Ti 3.20
Hf 0.0813 0.0809 0.5809  7 Hf 2.97-3.22, 1 Zr 3.11, 6 Ti 3.20
Hf 0.4187 0.4191 0.9191  7 Hf 2.97-3.22, 1 Zr 3.11, 6 Ti 3.20
Hf 0.1637 0.8307 0.9967  3 Hf 2.83-2.84, 1 Ti 3.01
Hf 0.3363 0.0033 0.1693  3 Hf 2.83-2.84, 1 Ti 3.01
Hf 0.8363 0.1693 0.0033  3 Hf 2.83-2.84, 1 Ti 3.01
Hf 0.6637 0.9967 0.8307  3 Hf 2.83-2.84, 1 Ti 3.01
Zr 0.2500 0.2500 0.7500  14 Hf 3.11-3.25
Zr 0.7500 0.7500 0.2500  14 Hf 3.11-3.25
Ti 0.0001 0.6667 0.8334  3 Ti 2.83-2.84, 2 Hf 3.01
Ti 0.5000 0.1666 0.3333  3 Ti 2.83-2.84, 2 Hf 3.01
Ti 0.9999 0.3333 0.1666  3 Ti 2.83-2.84, 2 Hf 3.01
Ti 0.5000 0.8334 0.6667  3 Ti 2.83-2.84, 2 Hf 3.01

**Magnetic moment**: 0.000 μB per cell
**Total energy**: -9.2804 eV per atom

No. 6
A relaxed HfZrTi4 crystal. Source: Alexandria via LeMat-Bulk, functional GGA-PBE.

Unit cell a=4.6950 b=5.5771 c=5.5771 alpha=93.89 beta=114.89 gamma=114.89
Last column: nearest neighbours and their distance in Å.
Positions (direct):
Hf 0.5000 0.0000 0.5000  2 Zr 3.00, 12 Ti 3.10
Zr 0.0000 0.5000 0.0000  2 Hf 3.00, 12 Ti 3.10
Ti 0.2494 0.4163 0.5826  5 Ti 2.71-3.01
Ti 0.2494 0.0826 0.9163  5 Ti 2.71-3.01
Ti 0.7506 0.9174 0.0837  5 Ti 2.71-3.01
Ti 0.7506 0.5837 0.4174  5 Ti 2.71-3.01

**Magnetic moment**: 0.000 μB per cell
**Distance to the lowest polymorph of the same formula**: 0 meV/atom

No. 7
A relaxed HfZrTi crystal. Source: Alexandria via LeMat-Bulk, functional GGA-PBE.

Unit cell a=5.5650 b=5.8444 c=7.8045 alpha=90.00 beta=90.00 gamma=90.00
Last column: nearest neighbours and their distance in Å.
Positions (direct):
Hf 0.8923 0.5000 0.1784  4 Ti 2.95-2.96, 3 Hf 3.00-3.03, 2 Zr 3.17
Hf 0.3923 0.5000 0.3216  4 Ti 2.95-2.96, 3 Hf 3.00-3.03, 2 Zr 3.17
Hf 0.6077 0.5000 0.6784  4 Ti 2.95-2.96, 3 Hf 3.00-3.03, 2 Zr 3.17
Hf 0.1077 0.5000 0.8216  4 Ti 2.95-2.96, 3 Hf 3.00-3.03, 2 Zr 3.17
Zr 0.8866 0.0000 0.8224  4 Ti 2.96-2.99, 3 Zr 3.00-3.05, 2 Hf 3.17
Zr 0.3866 0.0000 0.6776  4 Ti 2.96-2.99, 3 Zr 3.00-3.05, 2 Hf 3.17
Zr 0.6134 0.0000 0.3224  4 Ti 2.96-2.99, 3 Zr 3.00-3.05, 2 Hf 3.17
Zr 0.1134 0.0000 0.1776  4 Ti 2.96-2.99, 3 Zr 3.00-3.05, 2 Hf 3.17
Ti 0.0000 0.7462 0.5000  2 Ti 2.88-2.97, 4 Hf 2.95-2.96, 4 Zr 2.96-2.99
Ti 0.5000 0.7462 0.0000  2 Ti 2.88-2.97, 4 Hf 2.95-2.96, 4 Zr 2.96-2.99
Ti 0.5000 0.2538 0.0000  2 Ti 2.88-2.97, 4 Hf 2.95-2.96, 4 Zr 2.96-2.99
Ti 0.0000 0.2538 0.5000  2 Ti 2.88-2.97, 4 Hf 2.95-2.96, 4 Zr 2.96-2.99

**Magnetic moment**: 0.000 μB per cell
**Distance to the lowest polymorph of the same formula**: 0 meV/atom

No. 8
A relaxed Hf2Zr6Ti crystal. Source: Alexandria via LeMat-Bulk, functional GGA-PBE.

Unit cell a=7.4667 b=7.6013 c=7.6013 alpha=89.70 beta=101.67 gamma=101.67
Last column: nearest neighbours and their distance in Å.
Positions (direct):
Hf 0.3094 0.5938 0.6924  4 Zr 2.82-2.94, 1 Hf 2.96, 1 Ti 3.04
Hf 0.1906 0.3076 0.4062  4 Zr 2.82-2.94, 1 Hf 2.96, 1 Ti 3.04
Hf 0.6906 0.4062 0.3076  4 Zr 2.82-2.94, 1 Hf 2.96, 1 Ti 3.04
Hf 0.8094 0.6924 0.5938  4 Zr 2.82-2.94, 1 Hf 2.96, 1 Ti 3.04
Zr 0.4641 0.7548 0.4023  2 Hf 2.82-2.85, 1 Ti 2.82, 3 Zr 2.93-3.05
Zr 0.0359 0.5977 0.2452  2 Hf 2.82-2.85, 1 Ti 2.82, 3 Zr 2.93-3.05
Zr 0.5359 0.2452 0.5977  2 Hf 2.82-2.85, 1 Ti 2.82, 3 Zr 2.93-3.05
Zr 0.9641 0.4023 0.7548  2 Hf 2.82-2.85, 1 Ti 2.82, 3 Zr 2.93-3.05
Zr 0.1779 0.9326 0.4897  3 Hf 2.90-3.22, 4 Zr 2.93-3.17, 1 Ti 3.01
Zr 0.3221 0.5103 0.0674  3 Hf 2.90-3.22, 4 Zr 2.93-3.17, 1 Ti 3.01
Zr 0.8221 0.0674 0.5103  3 Hf 2.90-3.22, 4 Zr 2.93-3.17, 1 Ti 3.01
Zr 0.6779 0.4897 0.9326  3 Hf 2.90-3.22, 4 Zr 2.93-3.17, 1 Ti 3.01
Zr 0.0841 0.8305 0.9229  1 Hf 2.94, 2 Zr 3.05-3.07, 1 Ti 3.08
Zr 0.4159 0.0771 0.1695  1 Hf 2.94, 2 Zr 3.05-3.07, 1 Ti 3.08
Zr 0.9159 0.1695 0.0771  1 Hf 2.94, 2 Zr 3.05-3.07, 1 Ti 3.08
Zr 0.5841 0.9229 0.8305  1 Hf 2.94, 2 Zr 3.05-3.07, 1 Ti 3.08
Ti 0.2500 0.2030 0.7970  6 Zr 2.82-3.08, 2 Hf 3.04
Ti 0.7500 0.7970 0.2030  6 Zr 2.82-3.08, 2 Hf 3.04

**Magnetic moment**: 0.000 μB per cell
**Total energy**: -8.5500 eV per atom

Repeat the second record exactly.
A relaxed HfZr2Ti2 crystal. Source: Alexandria via LeMat-Bulk, functional GGA-PBE.

Unit cell a=7.7224 b=7.7224 c=3.5136 alpha=90.00 beta=90.00 gamma=90.00
Last column: nearest neighbours and their distance in Å.
Positions (direct):
Hf 0.0000 0.0000 0.0000  4 Zr 2.98
Hf 0.5000 0.5000 0.0000  4 Zr 2.98
Zr 0.3593 0.8593 0.0000  6 Ti 2.83-2.89, 2 Hf 2.98, 1 Zr 3.07
Zr 0.8593 0.6407 0.0000  6 Ti 2.83-2.89, 2 Hf 2.98, 1 Zr 3.07
Zr 0.6407 0.1407 0.0000  6 Ti 2.83-2.89, 2 Hf 2.98, 1 Zr 3.07
Zr 0.1407 0.3593 0.0000  6 Ti 2.83-2.89, 2 Hf 2.98, 1 Zr 3.07
Ti 0.1561 0.6561 0.5000  6 Zr 2.83-2.89
Ti 0.6561 0.8439 0.5000  6 Zr 2.83-2.89
Ti 0.8439 0.3439 0.5000  6 Zr 2.83-2.89
Ti 0.3439 0.1561 0.5000  6 Zr 2.83-2.89

**Magnetic moment**: 0.000 μB per cell
**Distance to the lowest polymorph of the same formula**: 140 meV/atom